Computed, not measured: an optimized crystal structure of NdTmLuAl at the PBE level of DFT.

Output
**DOS(E_F)**: 5.84 states/eV/f.u.
**SG**: No. 216
**Uncorrected energy**: -17.8 eV per cell

Cell and atoms, written as POSCAR:
```
NdTmLuAl
1.0
5.345 0.000 0.000
2.672 4.629 0.000
2.672 1.543 4.364
Nd Lu Tm Al
1 1 1 1
Direct
0.500 0.500 0.500 Nd
0.750 0.750 0.750 Lu
0.000 0.000 0.000 Tm
0.250 0.250 0.250 Al
```